## BaAl2Au (PBE)

Data for a relaxed structure of BaAl2Au.

## Properties
- Calculated formation energy: -241 meV per atom
- Magnetic moment: 0.0 μB/f.u.
- SG: No. 6

a b c (Å): 4.3514 3.6591 6.8961
angles (deg): 74.52 90.00 90.00
Last column: nearest neighbours and their distance in Å.
Sites, in units of the cell vectors:
Au: 0.0000 0.3494 0.4272  4 Al 2.53-2.77
Ba: 0.5000 0.7000 0.7255  3 Al 3.37-3.76, 4 Au 3.46-3.47, 2 Ba 3.66
Al: 0.0000 0.0060 0.1150  2 Au 2.77, 4 Al 2.94-2.95
Al: 0.5000 0.4447 0.2323  2 Au 2.53

## CaScMo2 (PBE)

Data for a relaxed structure of CaScMo2.

## Properties
- Calculated formation energy: 375 meV per atom
- Magnetic moment: 0.0 μB/f.u.
- SG: No. 6

a b c (Å): 4.2995 3.0564 6.7339
angles (deg): 79.31 90.00 90.00
Last column: nearest neighbours and their distance in Å.
Sites, in units of the cell vectors:
Sc: 0.0000 0.5054 0.4356  3 Mo 2.70-2.82
Mo: 0.0000 0.0178 0.0628  2 Mo 2.53, 1 Sc 2.70
Mo: 0.5000 0.2143 0.2231  2 Mo 2.53, 2 Sc 2.82
Ca: 0.5000 0.7626 0.7784  2 Ca 3.06, 3 Mo 3.07-3.15, 2 Sc 3.35

## ScPN2O (PBE)

Data for a relaxed structure of ScPN2O.

## Properties
- Magnetic moment: 0.0 μB/f.u.
- SG: No. 123
- Formation energy without anion corrections: -846 meV per atom

a b c (Å): 3.5322 3.5322 3.5263
angles (deg): 90.00 90.00 90.00
Last column: nearest neighbours and their distance in Å.
Sites, in units of the cell vectors:
Sc: 0.5000 0.5000 0.5000  8 N 2.50, 4 O 2.50
P: 0.0000 0.0000 0.0000  2 O 1.76, 4 N 1.77
O: 0.0000 0.0000 0.5000  2 P 1.76
N: 0.0000 0.5000 0.0000  2 P 1.77
N: 0.5000 0.0000 0.0000  2 P 1.77

## TaBeSe2 (PBE)

Data for a relaxed structure of TaBeSe2.

## Properties
- Magnetic moment: 0.0 μB/f.u.
- SG: No. 99
- Formation energy without anion corrections: -221 meV per atom

a b c (Å): 3.2107 3.2107 7.6403
angles (deg): 90.00 90.00 90.00
Last column: nearest neighbours and their distance in Å.
Sites, in units of the cell vectors:
Be: 0.5000 0.5000 0.7596  4 Se 2.42
Se: 0.0000 0.0000 0.8675  4 Be 2.42, 1 Ta 2.56
Se: 0.5000 0.5000 0.3411  4 Ta 2.70
Ta: 0.0000 0.0000 0.5319  5 Se 2.56-2.70, 4 Be 2.86

## TlAgF2 (PBE)

Data for a relaxed structure of TlAgF2.

## Properties
- Magnetic moment: 0.0 μB/f.u.
- SG: No. 225
- Formation energy without anion corrections: -1264 meV per atom

a b c (Å): 4.5526 4.5526 4.5526
angles (deg): 60.00 60.00 60.00
Last column: nearest neighbours and their distance in Å.
Sites, in units of the cell vectors:
Tl: 0.5000 0.5000 0.5000  8 F 2.79
Ag: 0.0000 0.0000 0.0000  8 F 2.79
F: 0.2500 0.2500 0.2500  4 Tl 2.79, 4 Ag 2.79
F: 0.7500 0.7500 0.7500  4 Tl 2.79, 4 Ag 2.79

## BaBe2Cr (PBE)

Data for a relaxed structure of BaBe2Cr.

## Properties
- Calculated formation energy: 801 meV per atom
- Magnetic moment: 3.5 μB/f.u.
- SG: No. 99

a b c (Å): 3.1061 3.1061 7.6294
angles (deg): 90.00 90.00 90.00
Last column: nearest neighbours and their distance in Å.
Sites, in units of the cell vectors:
Cr: 0.0000 0.0000 0.4025  5 Be 2.33-2.54
Ba: 0.5000 0.5000 0.7665  4 Ba 3.11, 4 Be 3.34
Be: 0.0000 0.0000 0.0970  1 Cr 2.33, 4 Be 2.43
Be: 0.5000 0.5000 0.2340  4 Be 2.43, 4 Cr 2.54

## AcSmIn2Se4 (PBE)

Data for a relaxed structure of AcSmIn2Se4.

## Properties
- Magnetic moment: 0.0 μB/f.u.
- SG: No. 10
- Formation energy without anion corrections: -1308 meV per atom

a b c (Å): 4.3941 8.1035 7.6226
angles (deg): 71.84 90.00 90.00
Last column: nearest neighbours and their distance in Å.
Sites, in units of the cell vectors:
Ac: 0.5000 0.5000 0.0000  6 Se 3.10-3.11
Sm: 0.0000 0.5000 0.5000  6 Se 2.96-2.99
In: 0.0000 0.0000 0.0000  6 Se 3.40-3.41
In: 0.5000 0.0000 0.5000  6 Se 3.29
Se: 0.0000 0.7195 0.7460  1 Sm 2.96, 2 Ac 3.10, 2 In 3.29
Se: 0.0000 0.2805 0.2540  1 Sm 2.96, 2 Ac 3.10, 2 In 3.29
Se: 0.5000 0.7139 0.2750  2 Sm 2.99, 1 Ac 3.11, 1 In 3.29
Se: 0.5000 0.2861 0.7250  2 Sm 2.99, 1 Ac 3.11, 1 In 3.29

## Tl2InCo (PBE)

Data for a relaxed structure of Tl2InCo.

## Properties
- Calculated formation energy: 330 meV per atom
- Magnetic moment: 0.4 μB/f.u.
- SG: No. 65

a b c (Å): 3.3575 6.6841 6.6850
angles (deg): 43.90 90.00 90.00
Last column: nearest neighbours and their distance in Å.
Sites, in units of the cell vectors:
Co: 0.5000 0.2500 0.2500  2 In 2.50, 4 Tl 2.66
In: 0.5000 0.7500 0.7500  2 Co 2.50
Tl: 0.0000 0.0839 0.0829  2 Co 2.66
Tl: 0.0000 0.4161 0.4171  2 Co 2.66